Record 1
TaMoRh2: optimized geometry, PBE.

Values from the calculation:
* size of the total moment: 0.00 μB/f.u.
* ΔH_f (0 K): -346 meV/atom
* energy above the most stable polymorph in this dataset: 9 meV/atom
* crystal system: orthorhombic
* energy: -9.6928 eV/atom

The structure in POSCAR format:
```
TaMoRh2
1.0
0.0000 2.8044 3.9187
2.7991 0.0000 3.9187
2.7991 2.8044 0.0000
Ta Mo Rh
1 1 2
Cartesian
0.0000 0.0000 0.0000
2.7991 2.8044 3.9187
1.3996 1.4022 1.9594
4.1987 4.2066 5.8781
```

=====

Record 2
TaMoRh2: optimized geometry, PBE.

Values from the calculation:
* size of the total moment: 0.00 μB/f.u.
* ΔH_f (0 K): -216 meV/atom
* energy above the most stable polymorph in this dataset: 139 meV/atom
* crystal system: tetragonal
* energy: -9.5628 eV/atom

The structure in POSCAR format:
```
TaMoRh2
1.0
3.2726 0.0000 0.0000
0.0000 3.2726 0.0000
0.0000 0.0000 5.9007
Ta Mo Rh
1 1 2
Cartesian
0.0000 0.0000 0.0000
1.6363 1.6363 1.7227
0.0000 0.0000 2.9363
1.6363 1.6363 4.6070
```

=====

Record 3
TaMoRh2: optimized geometry, PBE.

Values from the calculation:
* size of the total moment: 0.00 μB/f.u.
* ΔH_f (0 K): -127 meV/atom
* energy above the most stable polymorph in this dataset: 228 meV/atom
* crystal system: trigonal
* energy: -9.4739 eV/atom

The structure in POSCAR format:
```
TaMoRh2
1.0
1.4052 0.8113 9.0609
-1.4052 0.8113 9.0609
0.0000 -1.6226 9.0609
Ta Mo Rh
1 1 2
Cartesian
0.0000 0.0000 0.0000
0.0000 0.0000 13.5913
0.0000 0.0000 6.7499
0.0000 0.0000 20.4327
```

=====

Record 4
Ta2MoRh: optimized geometry, PBE.

Values from the calculation:
* size of the total moment: 0.00 μB/f.u.
* ΔH_f (0 K): -311 meV/atom
* energy above the most stable polymorph in this dataset: 37 meV/atom
* crystal system: cubic
* energy: -10.7826 eV/atom

The structure in POSCAR format:
```
Ta2MoRh
1.0
0.0000 3.2080 3.2080
3.2080 0.0000 3.2080
3.2080 3.2080 0.0000
Ta Mo Rh
2 1 1
Cartesian
1.6040 1.6040 1.6040
4.8120 4.8120 4.8120
0.0000 0.0000 0.0000
3.2080 3.2080 3.2080
```

=====

Record 5
Ta2MoRh2: optimized geometry, PBE.

Values from the calculation:
* size of the total moment: 0.23 μB/f.u.
* ΔH_f (0 K): 368 meV/atom
* energy above the most stable polymorph in this dataset: 516 meV/atom
* crystal system: tetragonal
* energy: -9.4800 eV/atom

The structure in POSCAR format:
```
Ta2MoRh2
1.0
-2.0175 2.0175 5.5738
2.0175 -2.0175 5.5738
2.0175 2.0175 -5.5738
Ta Mo Rh
2 1 2
Cartesian
2.0175 0.0000 2.7869
0.0000 2.0175 2.7869
0.0000 0.0000 0.0000
0.0000 0.0000 4.3768
0.0000 0.0000 6.7708
```

=====

Record 6
TaMoRh2: optimized geometry, PBE.

Values from the calculation:
* size of the total moment: 0.00 μB/f.u.
* ΔH_f (0 K): -259 meV/atom
* energy above the most stable polymorph in this dataset: 96 meV/atom
* crystal system: monoclinic
* energy: -9.6055 eV/atom

The structure in POSCAR format:
```
TaMoRh2
1.0
4.5931 -1.4142 0.0000
4.5931 1.4142 0.0000
-0.8299 0.0000 4.7957
Ta Mo Rh
1 1 2
Cartesian
0.0000 0.0000 0.0000
6.7281 0.0000 1.5120
1.6579 0.0000 3.8333
4.2244 0.0000 2.4155
```

=====

Record 7
Ta3Mo2Rh2: optimized geometry, PBE.

Values from the calculation:
* size of the total moment: 0.00 μB/f.u.
* ΔH_f (0 K): -276 meV/atom
* crystal system: monoclinic
* energy: -10.5511 eV/atom

The structure in POSCAR format:
```
Ta3Mo2Rh2
1.0
3.9073 -2.2509 0.0000
3.9073 2.2509 0.0000
-2.5955 0.0000 6.4962
Ta Mo Rh
3 2 2
Cartesian
0.0000 0.0000 0.0000
2.6072 0.0000 1.8665
2.6119 0.0000 4.6298
0.0063 0.0000 5.5525
5.2128 0.0000 0.9438
0.0060 0.0000 2.6620
5.2131 0.0000 3.8342
```

=====

Record 8
TaMo2Rh: optimized geometry, PBE.

Values from the calculation:
* size of the total moment: 0.00 μB/f.u.
* ΔH_f (0 K): -111 meV/atom
* energy above the most stable polymorph in this dataset: 20 meV/atom
* crystal system: orthorhombic
* energy: -10.3277 eV/atom

The structure in POSCAR format:
```
TaMo2Rh
1.0
1.6427 -2.2313 0.0000
1.6427 2.2313 0.0000
0.0000 0.0000 8.7201
Ta Mo Rh
1 2 1
Cartesian
0.0000 0.0000 0.0000
0.0000 0.0000 4.4626
1.6427 0.0000 2.2832
1.6427 0.0000 6.5719
```

=====

Record 9
TaMo2Rh: optimized geometry, PBE.

Values from the calculation:
* size of the total moment: 0.00 μB/f.u.
* ΔH_f (0 K): -73 meV/atom
* energy above the most stable polymorph in this dataset: 58 meV/atom
* crystal system: orthorhombic
* energy: -10.2892 eV/atom

The structure in POSCAR format:
```
TaMo2Rh
1.0
-1.6206 2.2750 4.3636
1.6206 -2.2750 4.3636
1.6206 2.2750 -4.3636
Ta Mo Rh
1 2 1
Cartesian
0.0000 0.0000 0.0000
1.6206 0.0000 2.1796
0.0000 0.0000 4.2298
0.0000 2.2750 2.1377
```

=====

Record 10
Ta4MoRh: optimized geometry, PBE.

Values from the calculation:
* size of the total moment: 0.67 μB/f.u.
* ΔH_f (0 K): 391 meV/atom
* energy above the most stable polymorph in this dataset: 650 meV/atom
* crystal system: cubic
* energy: -10.5412 eV/atom

The structure in POSCAR format:
```
Ta4MoRh
1.0
0.0000 3.7821 3.7821
3.7821 0.0000 3.7821
3.7821 3.7821 0.0000
Ta Mo Rh
4 1 1
Cartesian
0.9397 0.9397 0.9397
2.8424 2.8424 0.9397
2.8424 0.9397 2.8424
0.9397 2.8424 2.8424
5.6732 5.6732 5.6732
3.7821 3.7821 3.7821
```

=====

Record 11
TaMo2Rh: optimized geometry, PBE.

Values from the calculation:
* size of the total moment: 0.00 μB/f.u.
* ΔH_f (0 K): 16 meV/atom
* energy above the most stable polymorph in this dataset: 146 meV/atom
* crystal system: tetragonal
* energy: -10.2011 eV/atom

The structure in POSCAR format:
```
TaMo2Rh
1.0
-1.9967 1.9967 4.0295
1.9967 -1.9967 4.0295
1.9967 1.9967 -4.0295
Ta Mo Rh
1 2 1
Cartesian
0.0000 0.0000 0.0000
1.9967 0.0000 2.0147
0.0000 0.0000 4.0295
0.0000 1.9967 2.0147
```

=====

Record 12
TaMoRh: optimized geometry, PBE.

Values from the calculation:
* size of the total moment: 0.00 μB/f.u.
* ΔH_f (0 K): -50 meV/atom
* energy above the most stable polymorph in this dataset: 129 meV/atom
* crystal system: tetragonal
* energy: -10.0615 eV/atom

The structure in POSCAR format:
```
TaMoRh
1.0
-1.6222 1.6222 4.6384
1.6222 -1.6222 4.6384
1.6222 1.6222 -4.6384
Ta Mo Rh
1 1 1
Cartesian
0.0000 0.0000 0.0000
0.0000 0.0000 6.1370
0.0000 0.0000 3.1186
```